Below is a relaxed structure of RbW2Au, with properties calculated at the PBE level.

Its symmetry is I-42d, No. 122. As for the calculated volume: 28.90 Å³/atom. The excess energy over the best structure of this formula in the dataset is 0 meV/atom. The density of states at the Fermi level comes out at 0.8552 states/eV/atom.

```
RbW2Au
1.0
-1.2469 -4.4354 -1.4400
0.6573 -1.6429 4.4911
-9.7860 -1.0573 3.6396
Au W Rb
2 4 2
direct
0.7500 0.2500 0.5000 Au
0.0000 0.0000 0.0000 Au
0.8556 0.1250 0.2500 W
0.3750 0.1444 0.7500 W
0.8944 0.6250 0.2500 W
0.8750 0.1056 0.7500 W
0.2500 0.7500 0.5000 Rb
0.5000 0.5000 0.0000 Rb
```